Entry 1:
An optimized crystal structure of Co3BPt. Source: the Alexandria database, functional PBE.

Geometry as POSCAR:
```
Co3BPt
1.0
-4.2287 0.8298 1.6312
1.4816 -0.8590 4.2777
1.0745 4.4503 0.5215
B Co Pt
1 3 1
direct
0.5000 0.5000 0.5000
0.0000 0.5000 0.0000
0.0000 0.0000 0.5000
0.5000 0.0000 0.0000
0.0000 0.0000 0.0000
```

## Properties
crystal system: cubic
total magnetization: 1.337 μB/atom
space group: Pm-3m, No. 221
mass density: 6.50 g cm⁻³
E_form: 2.07 eV/atom
ΔE to the lowest computed polymorph: 192.1 kJ/mol of atoms

Entry 2:
An optimized crystal structure of Y6CS3. Source: the Alexandria database, functional PBE.

Geometry as POSCAR:
```
Y6CS3
1.0
6.4004 0.0000 -0.2587
0.0000 7.1911 0.0000
-0.4424 0.0000 9.7801
Y C S
12 2 6
direct
0.6766 0.1707 0.9183
0.6621 0.2030 0.5628
0.6606 0.4745 0.2709
0.3394 0.5255 0.7291
0.3379 0.7970 0.4372
0.3234 0.8293 0.0817
0.1766 0.3293 0.4183
0.1621 0.2970 0.0628
0.1606 0.0255 0.7709
0.8394 0.9745 0.2291
0.8379 0.7030 0.9372
0.8234 0.6707 0.5817
0.5000 0.5000 0.5000
0.0000 0.0000 0.0000
0.5478 0.8776 0.7128
0.5000 0.5000 0.0000
0.4522 0.1224 0.2872
0.0478 0.6224 0.2128
0.0000 0.0000 0.5000
0.9522 0.3776 0.7872
```

## Properties
crystal system: monoclinic
total magnetization: 0.000 μB/atom
space group: P2_1/c, No. 14
mass density: 4.74 g cm⁻³
formation energy (no corrections): -1.193 eV per atom